! KCoS2N | Alexandria | PBE | optimized geometry; values from VASP
! VASP energy = -2.809 eV per atom
! Energy relative to the elements, uncorrected = 207 kJ/mol of atoms
! Spin magnetization = 7.019 μB per formula unit
! Theoretical density = 2.0 g cm⁻³
! N(E_F) = 4.731 states/eV per cell
&SYSTEM
  ibrav = 0, nat = 5, ntyp = 4
/
ATOMIC_SPECIES
K 39.10 K.upf
Co 58.93 Co.upf
S 32.06 S.upf
N 14.01 N.upf
CELL_PARAMETERS angstrom
5.5730 0.0000 0.0000
0.0000 5.5730 0.0000
0.0000 0.0000 4.8128
ATOMIC_POSITIONS angstrom
K 0.0000 0.0000 0.0000
Co 2.7865 2.7865 2.4064
S 0.0000 2.7865 0.0000
S 2.7865 0.0000 0.0000
N 0.0000 0.0000 2.4064